The following is a DFT calculation (PBE) of a geometry-optimized ThSi3Rh9 structure.

Calculated values
Energy relative to the elements, uncorrected (eV per atom): -0.63
Calculated volume (Å³/f.u.): 196

Unit cell a=5.1102 b=6.3067 c=6.8868 alpha=83.31 beta=68.22 gamma=71.71
Atoms (fractional coordinates):
Rh 0.0495 0.3226 0.6411
Rh 0.2929 0.2287 0.2260
Rh 0.4811 0.7713 0.2260
Rh 0.9505 0.6774 0.3589
Rh 0.7071 0.7713 0.7740
Rh 0.0000 0.5000 0.0000
Rh 0.5189 0.2287 0.7740
Rh 0.6906 0.3226 0.3589
Rh 0.3094 0.6774 0.6411
Th 0.0000 0.0000 0.0000
Si 0.5000 0.0000 0.5000
Si 0.5000 0.5000 0.0000
Si 0.0000 0.0000 0.5000